1.
A plane-wave DFT calculation with GGA-PBE was carried out for a geometry-optimized GaOs2F structure.

Cell and atoms, written as extended XYZ:
```
4
Lattice="0.000 2.996 2.996 2.996 0.000 2.996 2.996 2.996 0.000" Properties=species:S:1:pos:R:3 pbc="T T T"
Os 1.498 1.498 1.498
Os 4.494 4.494 4.494
Ga 2.996 2.996 2.996
F 0.000 0.000 0.000
```

Summary:
The calculation puts the excess energy over the best structure of this formula in the dataset at 0 meV/atom. The calculation puts the density of states at the Fermi level at 4.7 states/eV/f.u. The value obtained for the calculated total energy is -6.217 eV per atom. The formation energy (no corrections) is 0.6221 eV/atom.

---

2.
A plane-wave DFT calculation with GGA-PBE was carried out for a geometry-optimized GaOs2F structure.

Cell and atoms, written as extended XYZ:
```
8
Lattice="-0.621 6.312 -2.952 -6.732 -1.309 -1.383 -4.287 3.424 -0.068" Properties=species:S:1:pos:R:3 pbc="T T T"
Os -2.266 4.278 -1.867
Os -5.392 1.187 -1.419
Os -6.357 4.369 -1.756
Os -9.266 7.020 -3.766
Ga 0.000 0.000 0.000
Ga -4.292 6.119 -2.594
F -3.676 2.502 -2.168
F -7.348 2.308 -1.809
```

Summary:
The calculation puts the excess energy over the best structure of this formula in the dataset at 75 meV/atom. The calculation puts the density of states at the Fermi level at 3.9 states/eV/f.u. The value obtained for the calculated total energy is -6.143 eV per atom. The formation energy (no corrections) is 0.6969 eV/atom.

---

3.
A plane-wave DFT calculation with GGA-PBE was carried out for a geometry-optimized Ga2OsPbF structure.

Cell and atoms, written as extended XYZ:
```
5
Lattice="4.834 0.000 0.000 0.000 4.142 0.000 0.000 0.000 4.834" Properties=species:S:1:pos:R:3 pbc="T T T"
Pb 2.417 2.071 2.417
Os 0.000 2.071 0.000
Ga 0.000 0.000 2.417
Ga 2.417 0.000 0.000
F 0.000 0.000 0.000
```

Summary:
The calculation puts the excess energy over the best structure of this formula in the dataset at 798 meV/atom. The calculation puts the density of states at the Fermi level at 3.0 states/eV/f.u. The value obtained for the calculated total energy is -4.164 eV per atom. The formation energy (no corrections) is 0.4091 eV/atom.

---

4.
A plane-wave DFT calculation with GGA-PBE was carried out for a geometry-optimized Ga2OsPbF structure.

Cell and atoms, written as extended XYZ:
```
5
Lattice="4.778 0.000 0.000 0.000 4.778 0.000 0.000 0.000 5.243" Properties=species:S:1:pos:R:3 pbc="T T T"
Pb 0.000 0.000 2.622
Os 0.000 0.000 0.000
Ga 0.000 2.389 0.000
Ga 2.389 0.000 0.000
F 2.389 2.389 2.622
```

Summary:
The calculation puts the excess energy over the best structure of this formula in the dataset at 0 meV/atom. The calculation puts the density of states at the Fermi level at 1.9 states/eV/f.u. The value obtained for the calculated total energy is -4.962 eV per atom. The formation energy (no corrections) is -0.3893 eV/atom.

---

5.
A plane-wave DFT calculation with GGA-PBE was carried out for a geometry-optimized GaOs2PtF structure.

Cell and atoms, written as extended XYZ:
```
5
Lattice="4.968 0.000 0.000 0.000 4.775 0.000 0.000 0.000 4.968" Properties=species:S:1:pos:R:3 pbc="T T T"
Os 0.000 0.000 2.484
Os 2.484 0.000 0.000
Ga 0.000 2.388 0.000
Pt 0.000 0.000 0.000
F 2.484 2.388 2.484
```

Summary:
The calculation puts the density of states at the Fermi level at 5.8 states/eV/f.u. The value obtained for the calculated total energy is -5.072 eV per atom. The formation energy (no corrections) is 1.6076 eV/atom.

---

6.
A plane-wave DFT calculation with GGA-PBE was carried out for a geometry-optimized Rb2GaOsF6 structure.

Cell and atoms, written as extended XYZ:
```
10
Lattice="6.384 0.000 0.000 0.000 6.384 0.000 3.192 3.192 4.513" Properties=species:S:1:pos:R:3 pbc="T T T"
Os 0.000 0.000 0.000
Ga 3.192 3.192 0.000
Rb 6.384 3.192 2.256
Rb 3.192 6.384 2.256
F 3.192 3.192 2.457
F 6.384 6.384 2.056
F 1.454 1.454 0.000
F 4.930 4.930 0.000
F 4.930 1.454 0.000
F 1.454 4.930 0.000
```

Summary:
The calculation puts the density of states at the Fermi level at 27.4 states/eV/f.u. The value obtained for the calculated total energy is -4.703 eV per atom. The formation energy (no corrections) is -1.9611 eV/atom.